No. 1
SrIn3N: optimized geometry, PBEsol.

abc: 6.220 6.220 6.220
angles: 90.00 90.00 90.00
Positions (direct):
Sr: 0.000 0.000 0.000
In: 0.000 0.000 0.500
In: 0.000 0.500 0.000
In: 0.500 0.000 0.000
N: 0.500 0.500 0.500

Results
energy relative to the elements, uncorrected	1.782	eV per atom
magnetization	1.33	Bohr magnetons per cell
density of states at the Fermi level	4.7	states/eV/cell
space-group type	Pm-3m
excess energy over the best structure of this formula in the dataset	1.5199	eV/atom

=====

No. 2
Al2RuNF: optimized geometry, PBEsol.

abc: 4.687 4.687 3.864
angles: 90.00 90.00 90.00
Positions (direct):
Al: 0.000 0.500 0.000
Al: 0.500 0.000 0.000
Ru: 0.000 0.000 0.000
N: 0.500 0.500 0.500
F: 0.000 0.000 0.500

Results
energy relative to the elements, uncorrected	0.757	eV per atom
magnetization	1.75	Bohr magnetons per cell
density of states at the Fermi level	3.9	states/eV/cell
space-group type	P4/mmm